The following is a PBE calculation of an optimized crystal structure of NaNd2AgO5, from Alexandria.

Results
* VASP energy: -57.2 eV per formula unit
* E_form (uncorrected): -2.073 eV/atom
* space-group type: P4/mbm (127)

```
data_NaNd2AgO5
_chemical_formula_sum 'Na2 Nd4 Ag2 O10'
_cell_length_a 5.948
_cell_length_b 6.798
_cell_length_c 6.798
_cell_angle_alpha 90.00
_cell_angle_beta 90.00
_cell_angle_gamma 90.00
_space_group_name_H-M_alt 'P 1'
_space_group_IT_number 1
loop_
_space_group_symop_operation_xyz
'x,y,z'
loop_
_atom_site_label
_atom_site_type_symbol
_atom_site_fract_x
_atom_site_fract_y
_atom_site_fract_z
Na1 Na 0.000 0.500 0.500
Na2 Na 0.000 0.000 0.000
Nd1 Nd 0.500 0.677 0.177
Nd2 Nd 0.500 0.177 0.323
Nd3 Nd 0.500 0.823 0.677
Nd4 Nd 0.500 0.323 0.823
Ag1 Ag 0.000 0.000 0.500
Ag2 Ag 0.000 0.500 0.000
O1 O 0.500 0.500 0.500
O2 O 0.500 0.000 0.000
O3 O 0.254 0.137 0.637
O4 O 0.254 0.863 0.363
O5 O 0.254 0.363 0.137
O6 O 0.254 0.637 0.863
O7 O 0.746 0.137 0.637
O8 O 0.746 0.637 0.863
O9 O 0.746 0.863 0.363
O10 O 0.746 0.363 0.137
```

***

The following is a PBE calculation of an optimized crystal structure of NdY3HoEr, from Alexandria.

Results
* VASP energy: -33.2 eV per formula unit
* space-group type: Cmcm (63)

```
data_NdY3HoEr
_chemical_formula_sum 'Nd2 Y6 Ho2 Er2'
_cell_length_a 5.049
_cell_length_b 7.987
_cell_length_c 10.103
_cell_angle_alpha 90.00
_cell_angle_beta 90.00
_cell_angle_gamma 108.43
_space_group_name_H-M_alt 'P 1'
_space_group_IT_number 1
loop_
_space_group_symop_operation_xyz
'x,y,z'
loop_
_atom_site_label
_atom_site_type_symbol
_atom_site_fract_x
_atom_site_fract_y
_atom_site_fract_z
Nd1 Nd 0.000 0.000 0.500
Nd2 Nd 0.000 0.000 0.000
Y1 Y 0.667 0.334 0.500
Y2 Y 0.333 0.666 0.500
Y3 Y 0.333 0.666 0.000
Y4 Y 0.667 0.334 0.000
Y5 Y 0.167 0.334 0.750
Y6 Y 0.833 0.666 0.250
Ho1 Ho 0.499 0.998 0.750
Ho2 Ho 0.501 0.002 0.250
Er1 Er 0.834 0.668 0.750
Er2 Er 0.166 0.332 0.250
```

***

The following is a PBE calculation of an optimized crystal structure of SmAlNiRh, from Alexandria.

Results
* VASP energy: -23.7 eV per formula unit
* space-group type: F-43m (216)

```
data_SmAlNiRh
_chemical_formula_sum 'Sm1 Al1 Ni1 Rh1'
_cell_length_a 4.599
_cell_length_b 4.599
_cell_length_c 4.599
_cell_angle_alpha 60.00
_cell_angle_beta 60.00
_cell_angle_gamma 60.00
_space_group_name_H-M_alt 'P 1'
_space_group_IT_number 1
loop_
_space_group_symop_operation_xyz
'x,y,z'
loop_
_atom_site_label
_atom_site_type_symbol
_atom_site_fract_x
_atom_site_fract_y
_atom_site_fract_z
Ni1 Ni 0.000 0.000 0.000
Rh1 Rh 0.500 0.500 0.500
Al1 Al 0.750 0.750 0.750
Sm1 Sm 0.250 0.250 0.250
```